Entry 1:
First-principles (PBE-GGA) data for a geometry-optimized Nb2Ga3Mo4C3 structure, as listed in OQMD via LeMat-Bulk.

a = 9.3264 Å, b = 5.3911 Å, c = 13.5936 Å
α = 90.00°, β = 103.21°, γ = 90.00°
With the nearest neighbours (Å) after each atom.
Space group C2/c (No. 15)
Symmetry-distinct sites (fractional):
Nb: 0.0524 0.0845 0.4047  3 C 2.19
Ga: 0.0000 0.4468 0.2500  4 Mo 2.77, 2 Nb 2.83, 4 Ga 2.99
Ga: 0.1806 0.0961 0.7494  4 Mo 2.77-2.78, 2 Nb 2.82-2.83, 4 Ga 2.99
Mo: 0.1121 0.4182 0.5855  3 C 2.12-2.13
Mo: 0.2206 0.4154 0.9143  3 C 2.13
C: 0.0824 0.2474 0.9999  4 Mo 2.13, 2 Nb 2.19
C: 0.2500 0.2500 0.5000  4 Mo 2.12-2.13, 2 Nb 2.19

***

Entry 2:
First-principles (PBE-GGA) data for a geometry-optimized Nb3Ga2MoC2 structure, as listed in OQMD via LeMat-Bulk.

a = 3.1435 Å, b = 3.1435 Å, c = 13.4291 Å
α = 90.00°, β = 90.00°, γ = 120.00°
With the nearest neighbours (Å) after each atom.
Space group P3m1 (No. 156)
Symmetry-distinct sites (fractional):
Nb: 0.0000 0.0000 0.0000  3 C 2.20
Nb: 0.0000 0.0000 0.3227  3 C 2.19
Nb: 0.6667 0.3333 0.5058  3 C 2.19
Ga: 0.0000 0.0000 0.6687  3 Mo 2.77, 3 Nb 2.84
Ga: 0.6667 0.3333 0.1615  6 Nb 2.82-2.83, 6 Ga 3.14
Mo: 0.6667 0.3333 0.8246  3 C 2.13
C: 0.3333 0.6667 0.4140  6 Nb 2.19
C: 0.3333 0.6667 0.9074  3 Mo 2.13, 3 Nb 2.20

***

Entry 3:
First-principles (PBE-GGA) data for a geometry-optimized Nb4Ga3Mo2C3 structure, as listed in OQMD via LeMat-Bulk.

a = 9.4166 Å, b = 5.4425 Å, c = 13.7246 Å
α = 90.00°, β = 103.28°, γ = 90.00°
With the nearest neighbours (Å) after each atom.
Space group C2/c (No. 15)
Symmetry-distinct sites (fractional):
Nb: 0.1144 0.0840 0.0921  3 C 2.19
Nb: 0.2193 0.0827 0.4080  3 C 2.19
Ga: 0.0000 0.1117 0.7500  2 Mo 2.77, 4 Nb 2.83-2.84, 2 Ga 2.90
Ga: 0.1541 0.4272 0.2504  2 Mo 2.78, 4 Nb 2.82-2.84, 2 Ga 2.90
Mo: 0.0547 0.4174 0.9160  3 C 2.14
C: 0.0837 0.2487 0.5000  2 Mo 2.14, 4 Nb 2.19
C: 0.2500 0.2500 0.0000  2 Mo 2.14, 4 Nb 2.19

***

Looking at electronic total energy for the records above, in order, we have -8.621; -8.623; -8.631 eV per atom.
Looking at total moment for the records above, in order, we have 0.00; 0.00; 0.01 μB/f.u..